Record 1
The following is a DFT calculation (PBE) of a relaxed structure of MgAuSe.

a b c (Å): 6.761 6.761 6.761
angles (deg): 153.43 153.43 37.92
Positions (direct):
Mg (0.000, 0.000, 0.000)
Au (0.640, 0.640, 0.000)
Se (0.363, 0.363, 0.000)

For the mass density, the calculation gives 8.08 Mg/m³. The crystal system is tetragonal. As for the electronic total energy: -9.31 eV per cell. For the offset from the most stable computed form, the calculation gives 294 meV per atom.

Record 2
The following is a DFT calculation (PBE) of a relaxed structure of MgAuSe2.

a b c (Å): 6.593 6.593 6.593
angles (deg): 144.36 143.22 52.15
Positions (direct):
Mg (0.000, 0.000, 0.000)
Au (0.500, 0.500, 0.000)
Se (0.353, 0.853, 0.500)
Se (0.647, 0.147, 0.500)

For the mass density, the calculation gives 6.33 Mg/m³. The crystal system is orthorhombic. As for the electronic total energy: -13.39 eV per cell.

Record 3
The following is a DFT calculation (PBE) of a relaxed structure of MgAuSe2.

a b c (Å): 7.751 7.751 7.751
angles (deg): 154.74 150.69 39.07
Positions (direct):
Mg (0.000, 0.000, 0.000)
Au (0.695, 0.195, 0.500)
Se (0.170, 0.670, 0.500)
Se (0.435, 0.435, 0.000)

For the mass density, the calculation gives 6.48 Mg/m³. The crystal system is orthorhombic. As for the electronic total energy: -13.29 eV per cell.

Record 4
The following is a DFT calculation (PBE) of a relaxed structure of MgAuSe2.

a b c (Å): 6.672 6.672 3.779
angles (deg): 90.05 90.05 31.78
Positions (direct):
Mg (0.000, 0.000, 0.000)
Au (0.766, 0.766, 0.496)
Se (0.312, 0.312, 0.997)
Se (0.558, 0.558, 0.500)

For the mass density, the calculation gives 7.11 Mg/m³. The crystal system is monoclinic. As for the electronic total energy: -13.54 eV per cell.

Record 5
The following is a DFT calculation (PBE) of a relaxed structure of MgAuSe2.

a b c (Å): 4.416 4.416 7.137
angles (deg): 90.00 90.00 128.76
Positions (direct):
Mg (0.000, 0.000, 0.000)
Au (0.000, 0.000, 0.500)
Se (0.500, 0.500, 0.253)
Se (0.500, 0.500, 0.747)

For the mass density, the calculation gives 5.80 Mg/m³. The crystal system is orthorhombic. As for the electronic total energy: -12.83 eV per cell.

Record 6
The following is a DFT calculation (PBE) of a relaxed structure of Mg2Au2Se.

a b c (Å): 7.282 7.282 3.849
angles (deg): 90.00 90.00 90.00
Positions (direct):
Mg (0.162, 0.338, 0.000)
Mg (0.338, 0.838, 0.000)
Mg (0.662, 0.162, 0.000)
Mg (0.838, 0.662, 0.000)
Au (0.135, 0.635, 0.500)
Au (0.365, 0.135, 0.500)
Au (0.635, 0.865, 0.500)
Au (0.865, 0.365, 0.500)
Se (0.000, 0.000, 0.000)
Se (0.500, 0.500, 0.000)

For the mass density, the calculation gives 8.49 Mg/m³. The crystal system is tetragonal. As for the electronic total energy: -30.42 eV per cell.

Record 7
The following is a DFT calculation (PBE) of a relaxed structure of MgAuSe2.

a b c (Å): 5.575 4.504 4.504
angles (deg): 61.82 90.00 90.00
Positions (direct):
Mg (0.000, 0.000, 0.000)
Au (0.500, 0.662, 0.662)
Se (0.000, 0.661, 0.661)
Se (0.500, 0.008, 0.008)

For the mass density, the calculation gives 6.32 Mg/m³. The crystal system is orthorhombic. As for the electronic total energy: -14.10 eV per cell.

Record 8
The following is a DFT calculation (PBE) of a relaxed structure of MgAu3Se.

a b c (Å): 5.057 5.057 5.057
angles (deg): 90.00 90.00 90.00
Positions (direct):
Mg (0.000, 0.000, 0.000)
Au (0.000, 0.500, 0.500)
Au (0.500, 0.000, 0.500)
Au (0.500, 0.500, 0.000)
Se (0.500, 0.500, 0.500)

For the mass density, the calculation gives 8.91 Mg/m³. The crystal system is cubic. As for the electronic total energy: -13.02 eV per cell. For the offset from the most stable computed form, the calculation gives 0 meV per atom.

Record 9
The following is a DFT calculation (PBE) of a relaxed structure of MgAuSe2.

a b c (Å): 4.778 3.949 4.873
angles (deg): 90.00 106.15 90.00
Positions (direct):
Mg (0.000, 0.000, 0.000)
Au (0.500, 0.000, 0.500)
Se (0.252, 0.500, 0.749)
Se (0.748, 0.500, 0.251)

For the mass density, the calculation gives 7.13 Mg/m³. The crystal system is monoclinic. As for the electronic total energy: -12.85 eV per cell.

Record 10
The following is a DFT calculation (PBE) of a relaxed structure of MgAu4Se.

a b c (Å): 5.545 5.545 5.545
angles (deg): 60.00 60.00 60.00
Positions (direct):
Mg (0.000, 0.000, 0.000)
Au (0.375, 0.375, 0.375)
Au (0.375, 0.375, 0.876)
Au (0.375, 0.876, 0.375)
Au (0.876, 0.375, 0.375)
Se (0.750, 0.750, 0.750)

For the mass density, the calculation gives 12.28 Mg/m³. The crystal system is cubic. As for the electronic total energy: -18.81 eV per cell.

Record 11
The following is a DFT calculation (PBE) of a relaxed structure of Mg2SiAuSe4.

a b c (Å): 7.068 6.882 6.237
angles (deg): 64.98 61.92 53.10
Positions (direct):
Mg (0.000, 0.000, 0.500)
Mg (0.500, 0.500, 0.000)
Si (0.255, 0.255, 0.745)
Au (0.680, 0.680, 0.320)
Se (0.141, 0.604, 0.859)
Se (0.365, 0.911, 0.089)
Se (0.604, 0.141, 0.396)
Se (0.911, 0.365, 0.635)

For the mass density, the calculation gives 4.67 Mg/m³. The crystal system is orthorhombic. As for the electronic total energy: -30.54 eV per cell.

Record 12
The following is a DFT calculation (PBE) of a relaxed structure of MgV2AuSe.

a b c (Å): 5.047 5.047 5.115
angles (deg): 90.00 90.00 90.00
Positions (direct):
Mg (0.000, 0.000, 0.000)
V (0.000, 0.500, 0.500)
V (0.500, 0.000, 0.500)
Au (0.500, 0.500, 0.500)
Se (0.500, 0.500, 0.000)

For the mass density, the calculation gives 5.13 Mg/m³. The crystal system is tetragonal. As for the electronic total energy: -21.64 eV per cell.

Record 13
The following is a DFT calculation (PBE) of a relaxed structure of MgZn2AuSe4.

a b c (Å): 7.364 7.360 5.710
angles (deg): 67.22 67.15 45.63
Positions (direct):
Mg (0.000, 0.000, 0.000)
Zn (0.250, 0.250, 0.250)
Zn (0.750, 0.750, 0.750)
Au (0.501, 0.501, 0.499)
Se (0.117, 0.618, 0.382)
Se (0.383, 0.885, 0.617)
Se (0.618, 0.117, 0.883)
Se (0.885, 0.383, 0.115)

For the mass density, the calculation gives 5.53 Mg/m³. The crystal system is orthorhombic. As for the electronic total energy: -25.93 eV per cell.

Record 14
The following is a DFT calculation (PBE) of a relaxed structure of MgSi2Au2.

a b c (Å): 7.230 7.230 3.506
angles (deg): 90.00 90.00 90.00
Positions (direct):
Mg (0.000, 0.000, 0.000)
Mg (0.500, 0.500, 0.000)
Si (0.170, 0.330, 0.500)
Si (0.330, 0.830, 0.500)
Si (0.670, 0.170, 0.500)
Si (0.830, 0.670, 0.500)
Au (0.140, 0.640, 0.000)
Au (0.360, 0.140, 0.000)
Au (0.640, 0.860, 0.000)
Au (0.860, 0.360, 0.000)

For the mass density, the calculation gives 8.60 Mg/m³. The crystal system is tetragonal. As for the electronic total energy: -37.09 eV per cell. For the offset from the most stable computed form, the calculation gives 179 meV per atom.

Record 15
The following is a DFT calculation (PBE) of a relaxed structure of Mg4SiAu2.

a b c (Å): 8.156 8.156 8.156
angles (deg): 32.49 32.49 32.49
Positions (direct):
Mg (0.123, 0.123, 0.123)
Mg (0.372, 0.372, 0.372)
Mg (0.628, 0.628, 0.628)
Mg (0.877, 0.877, 0.877)
Si (0.500, 0.500, 0.500)
Au (0.254, 0.254, 0.254)
Au (0.746, 0.746, 0.746)

For the mass density, the calculation gives 6.19 Mg/m³. The crystal system is trigonal. As for the electronic total energy: -20.72 eV per cell.

Record 16
The following is a DFT calculation (PBE) of a relaxed structure of Mg5SiAu6.

a b c (Å): 8.003 8.003 4.629
angles (deg): 105.77 105.77 48.77
Positions (direct):
Mg (0.000, 0.000, 0.000)
Mg (0.164, 0.164, 0.665)
Mg (0.323, 0.323, 0.322)
Mg (0.677, 0.677, 0.678)
Mg (0.836, 0.836, 0.335)
Si (0.500, 0.500, 0.000)
Au (0.099, 0.579, 0.838)
Au (0.266, 0.734, 0.500)
Au (0.421, 0.901, 0.162)
Au (0.579, 0.099, 0.838)
Au (0.734, 0.266, 0.500)
Au (0.901, 0.421, 0.162)

For the mass density, the calculation gives 10.39 Mg/m³. The crystal system is monoclinic. As for the electronic total energy: -38.71 eV per cell.

Record 17
The following is a DFT calculation (PBE) of a relaxed structure of MgSi3Au.

a b c (Å): 4.914 4.914 4.914
angles (deg): 90.00 90.00 90.00
Positions (direct):
Mg (0.000, 0.000, 0.000)
Si (0.000, 0.500, 0.500)
Si (0.500, 0.000, 0.500)
Si (0.500, 0.500, 0.000)
Au (0.500, 0.500, 0.500)

For the mass density, the calculation gives 4.27 Mg/m³. The crystal system is cubic. As for the electronic total energy: -16.97 eV per cell. For the offset from the most stable computed form, the calculation gives 0 meV per atom.

Record 18
The following is a DFT calculation (PBE) of a relaxed structure of Mg3SiAu.

a b c (Å): 4.949 4.949 4.949
angles (deg): 90.00 90.00 90.00
Positions (direct):
Mg (0.000, 0.000, 0.500)
Mg (0.000, 0.500, 0.000)
Mg (0.500, 0.000, 0.000)
Si (0.000, 0.000, 0.000)
Au (0.500, 0.500, 0.500)

For the mass density, the calculation gives 4.08 Mg/m³. The crystal system is cubic. As for the electronic total energy: -12.89 eV per cell. For the offset from the most stable computed form, the calculation gives 0 meV per atom.

Record 19
The following is a DFT calculation (PBE) of a relaxed structure of Mg5SiAu4.

a b c (Å): 3.329 3.329 16.303
angles (deg): 90.00 90.00 90.00
Positions (direct):
Mg (0.000, 0.000, 0.000)
Mg (0.000, 0.000, 0.199)
Mg (0.000, 0.000, 0.397)
Mg (0.000, 0.000, 0.603)
Mg (0.000, 0.000, 0.801)
Si (0.500, 0.500, 0.500)
Au (0.500, 0.500, 0.100)
Au (0.500, 0.500, 0.300)
Au (0.500, 0.500, 0.700)
Au (0.500, 0.500, 0.900)

For the mass density, the calculation gives 8.62 Mg/m³. The crystal system is tetragonal. As for the electronic total energy: -31.06 eV per cell.

Record 20
The following is a DFT calculation (PBE) of a relaxed structure of Mg2SiAu2.

a b c (Å): 6.949 6.949 6.949
angles (deg): 146.80 146.80 47.67
Positions (direct):
Mg (0.250, 0.750, 0.500)
Mg (0.750, 0.250, 0.500)
Si (0.000, 0.000, 0.000)
Au (0.393, 0.393, 0.000)
Au (0.607, 0.607, 0.000)

For the mass density, the calculation gives 7.80 Mg/m³. The crystal system is tetragonal. As for the electronic total energy: -15.06 eV per cell. For the offset from the most stable computed form, the calculation gives 318 meV per atom.